Co2OsS, optimized geometry, DFT PBE-GGA; total moment = 0.0 μB per formula unit; formation energy without anion corrections = 2.53 eV/f.u.
1.0
5.2512 0.0000 0.0000
0.0000 5.2512 0.0000
2.6256 2.6256 4.7917
Co S Os
4 2 2
direct
0.8750 0.8579 0.7500
0.1421 0.6250 0.2500
0.3750 0.3921 0.7500
0.6079 0.1250 0.2500
0.5000 0.5000 0.0000
0.2500 0.7500 0.5000
0.7500 0.2500 0.5000
0.0000 0.0000 0.0000


Si3SbCl, optimized geometry, DFT PBE-GGA; total moment = 0.0 μB per formula unit; formation energy without anion corrections = 6.27 eV/f.u.
1.0
5.3283 0.0000 0.0000
0.0000 5.3283 0.0000
0.0000 0.0000 5.3283
Si Cl Sb
3 1 1
direct
0.0000 0.0000 0.5000
0.5000 0.0000 0.0000
0.0000 0.5000 0.0000
0.5000 0.5000 0.5000
0.0000 0.0000 0.0000


LaSm2Y5Ho, optimized geometry, DFT PBE-GGA; total moment = 0.0 μB per formula unit; E_form = 0.252 eV/atom
1.0
8.8255 0.0000 0.0000
0.0000 8.8255 0.0000
-4.4127 -4.4127 7.7136
Y Ho La Sm
10 2 2 4
direct
0.5726 0.6578 0.7304
0.5000 0.5000 0.0000
0.6578 0.1578 0.7304
0.1578 0.0726 0.7304
0.3422 0.8422 0.2696
0.0000 0.0000 0.0000
0.0726 0.5726 0.7304
0.4274 0.3422 0.2696
0.9274 0.4274 0.2696
0.8422 0.9274 0.2696
0.2500 0.7500 0.5000
0.7500 0.2500 0.5000
0.7500 0.7500 0.5000
0.2500 0.2500 0.5000
0.1157 0.3843 0.0000
0.8843 0.6157 0.0000
0.6157 0.1157 0.0000
0.3843 0.8843 0.0000


CrPbIN2, optimized geometry, DFT PBE-GGA; total moment = 5.1 μB per formula unit; formation energy without anion corrections = 8.71 eV/f.u.
1.0
-1.8275 -3.6018 -1.6378
1.2737 -2.2436 3.5128
-5.6425 1.4977 3.0024
N Pb Cr I
2 1 1 1
direct
0.5000 0.0000 0.0000
0.0000 0.5000 0.0000
0.0000 0.0000 0.0000
0.5000 0.5000 0.5000
0.0000 0.0000 0.5000


CaMo2W2, optimized geometry, DFT PBE-GGA; total moment = 0.0 μB per formula unit; E_form = 0.608 eV/atom
1.0
-2.1732 2.1732 5.4717
2.1732 -2.1732 5.4717
2.1732 2.1732 -5.4717
Ca W Mo
1 2 2
direct
0.0000 0.0000 0.0000
0.6228 0.6228 0.0000
0.3772 0.3772 0.0000
0.7500 0.2500 0.5000
0.2500 0.7500 0.5000


NpU6, optimized geometry, DFT PBE-GGA; total moment = 1.8 μB per formula unit; E_form = 1.046 eV/atom
1.0
6.1655 0.0000 0.0000
-2.0552 5.8129 0.0000
-2.0552 -2.9064 5.0341
U Np
6 1
direct
0.5000 0.7500 0.2500
0.7500 0.5000 0.2500
0.2500 0.7500 0.5000
0.2500 0.5000 0.7500
0.5000 0.2500 0.7500
0.7500 0.2500 0.5000
0.0000 0.0000 0.0000


TbPrCu3, optimized geometry, DFT PBE-GGA; total moment = 0.0 μB per formula unit; E_form = -0.214 eV/atom
1.0
3.7420 0.0000 -0.5152
0.0000 4.3258 0.0000
-0.1195 0.0000 12.9788
Cu Pr Tb
6 2 2
direct
0.4761 0.2500 0.9521
0.5239 0.7500 0.0479
0.6741 0.2500 0.3482
0.6204 0.7500 0.2408
0.3796 0.2500 0.7592
0.3259 0.7500 0.6518
0.9279 0.7500 0.8558
0.0721 0.2500 0.1442
0.2046 0.7500 0.4092
0.7954 0.2500 0.5908


Cs2ScF4, optimized geometry, DFT PBE-GGA; total moment = 0.5 μB per formula unit; formation energy without anion corrections = -21.55 eV/f.u.
1.0
4.2296 0.0000 0.0000
0.0000 4.2296 0.0000
2.1148 2.1148 10.2574
F Cs Sc
4 2 1
direct
0.9019 0.9019 0.1962
0.5000 0.0000 0.0000
0.0981 0.0981 0.8038
0.0000 0.5000 0.0000
0.6392 0.6392 0.7216
0.3608 0.3608 0.2784
0.0000 0.0000 0.0000


ZnTe2PtSe, optimized geometry, DFT PBE-GGA; total moment = 0.0 μB per formula unit; formation energy without anion corrections = 1.37 eV/f.u.
1.0
5.3159 0.0000 0.0000
0.0000 5.3159 0.0000
0.0000 0.0000 4.7727
Se Te Pt Zn
1 2 1 1
direct
0.5000 0.5000 0.5000
0.0000 0.5000 0.0000
0.5000 0.0000 0.0000
0.0000 0.0000 0.0000
0.0000 0.0000 0.5000


Sr2LiAs3Pd4, optimized geometry, DFT PBE-GGA; total moment = 0.0 μB per formula unit; E_form = -0.805 eV/atom
1.0
-0.5592 -4.2755 0.8989
3.7006 -0.9453 -2.1939
5.3993 1.1083 8.6300
Li Sr Pd As
1 2 4 3
direct
0.5000 0.5000 0.5000
0.5000 0.0000 0.2487
0.0000 0.5000 0.7513
0.0000 0.0000 0.0000
0.5000 0.5000 0.0000
0.0000 0.5000 0.3760
0.5000 0.0000 0.6240
0.0000 0.0000 0.5000
0.0000 0.5000 0.1325
0.5000 0.0000 0.8675


FeIrS2, optimized geometry, DFT PBE-GGA; total moment = 1.0 μB per formula unit; formation energy without anion corrections = -0.46 eV/f.u.
1.0
1.7523 0.0000 7.2304
-0.8761 1.5175 7.2304
-0.8761 -1.5175 7.2304
S Ir Fe
2 1 1
direct
0.8965 0.8965 0.8965
0.1035 0.1035 0.1035
0.0000 0.0000 0.0000
0.5000 0.5000 0.5000


AlFePt2, optimized geometry, DFT PBE-GGA; total moment = 3.2 μB per formula unit; E_form = -0.599 eV/atom
1.0
4.4814 0.0000 0.0000
0.0000 2.7731 -0.0021
0.0000 0.0032 4.6313
Pt Fe Al
2 1 1
direct
0.5000 0.1252 0.3252
0.0000 0.1248 0.9254
0.5000 0.6250 0.8223
0.0000 0.6250 0.4272


Which value of total moment does entry 12 give?
3.2 μB per formula unit


Number 4 is which compound?
CrPbIN2


total moment of number 1 (Co2OsS)?
0.0 μB per formula unit